VASP calculation (PBE) on crystalline Ac12LaNd5 at its relaxed geometry.

Properties
N(E_F): 1.850 states/eV/atom
DFT formation energy: 0.033 eV/atom
Total magnetization: 0.00 μB/atom
Electronic total energy: -4.30 eV/atom

Cell: 11.735 11.681 6.732 Å, 106.19 90.00 59.84°
Positions (direct):
Ac1 0.497 0.333 0.499
Ac2 0.830 0.667 0.501
Ac3 0.164 0.000 0.500
Ac4 0.337 0.000 0.000
Ac5 0.331 0.666 0.000
Ac6 0.169 0.333 0.499
Ac7 0.003 0.666 0.000
Ac8 0.997 0.334 0.000
Ac9 0.502 0.667 0.501
Ac10 0.664 0.000 0.000
Ac11 0.835 0.000 0.500
Ac12 0.669 0.334 0.000
La1 0.000 0.000 0.000
Nd1 0.167 0.666 0.499
Nd2 0.833 0.334 0.501
Nd3 0.333 0.333 0.000
Nd4 0.667 0.667 0.000
Nd5 0.500 0.000 0.500